VASP calculation (PBE-GGA) on MgFeRh2 after structural relaxation.

POSCAR file:
```
MgFeRh2
1.0
3.022 0.000 0.000
0.000 4.590 0.000
0.000 0.000 4.163
Fe Mg Rh
1 1 2
Direct
0.500 0.000 0.500
0.000 0.500 0.500
0.000 0.000 0.000
0.500 0.500 0.000
```

Output
Theoretical density, g/cm3: 8.22
E_form, kJ per mole of atoms: -6
Raw total energy, eV per atom: -6.25